Model one:
Below is Er2Ga2O5 after structural relaxation, with properties calculated at the PBE level.

space group: P4/mmm

abc: 6.735 3.869 3.869
angles: 90.00 90.00 90.00
Element x y z (fractional)
Er 0.000 0.000 0.000
Er 0.500 0.000 0.000
Ga 0.204 0.500 0.500
Ga 0.796 0.500 0.500
O 0.235 0.500 0.000
O 0.765 0.500 0.000
O 0.235 0.000 0.500
O 0.765 0.000 0.500
O 0.500 0.500 0.500

***

Model two:
Below is Er2Ga2O5 after structural relaxation, with properties calculated at the PBE level.

space group: P4/mmm

abc: 8.535 3.900 3.900
angles: 90.00 90.00 90.00
Element x y z (fractional)
Er 0.245 0.500 0.500
Er 0.755 0.500 0.500
Ga 0.000 0.000 0.000
Ga 0.500 0.000 0.000
O 0.146 0.500 0.000
O 0.854 0.500 0.000
O 0.146 0.000 0.500
O 0.854 0.000 0.500
O 0.500 0.500 0.500

***

model one (9.6 kJ/mol of atoms below the next structure)

***

Model one:
Below is YErGa2Pd4 after structural relaxation, with properties calculated at the PBE level.

space group: P4/mmm

abc: 4.674 4.674 6.624
angles: 90.00 90.00 90.00
Element x y z (fractional)
Er 0.000 0.000 0.500
Ga 0.000 0.000 0.000
Ga 0.500 0.500 0.500
Pd 0.500 0.000 0.254
Pd 0.000 0.500 0.254
Pd 0.500 0.000 0.746
Pd 0.000 0.500 0.746
Y 0.500 0.500 0.000

***

Model two:
Below is YErGa2Pd4 after structural relaxation, with properties calculated at the PBE level.

space group: P-6m2

abc: 4.396 4.396 9.044
angles: 90.00 90.00 120.00
Element x y z (fractional)
Er 0.000 0.000 0.000
Ga 0.667 0.333 0.249
Ga 0.667 0.333 0.751
Pd 0.333 0.667 0.165
Pd 0.000 0.000 0.328
Pd 0.000 0.000 0.672
Pd 0.333 0.667 0.835
Y 0.333 0.667 0.500

***

model two (7.6 kJ/mol of atoms below the next structure)